The following is a DFT calculation (PBE+U) of a relaxed NaLiCr2F6 crystal.

abc: 5.405 5.716 5.818
angles: 60.91 63.53 58.25
Each line ends with the local moment (μB).
Element x y z (fractional)
Na 0.788 0.811 0.594  0.00
Li 0.287 0.342 0.064  0.00
Cr 0.520 0.513 0.456  3.82
Cr 0.010 0.014 0.967  3.82
F 0.621 0.214 0.216  0.01
F 0.242 0.902 0.233  0.00
F 0.899 0.589 0.246  0.02
F 0.371 0.731 0.783  0.02
F 0.756 0.142 0.721  0.00
F 0.168 0.404 0.737  0.01

Raw total energy ... -5.606 eV per atom
Symmetry ... No. 1
Crystal system ... triclinic
Calculated volume ... 129.15 Å³ per cell